1.
Compound: TmZnBr6
Source: Alexandria
Functional: GGA-PBE
Structure: relaxed

abc: 6.7572 6.7575 7.2133
angles: 61.76 62.27 60.09
Atoms (fractional coordinates):
Tm1 0.5000 0.5000 0.5000
Zn1 0.0000 0.0000 0.0000
Br1 0.0775 0.4086 0.7536
Br2 0.7591 0.0759 0.7567
Br3 0.5923 0.2419 0.2447
Br4 0.2409 0.9241 0.2433
Br5 0.9225 0.5914 0.2464
Br6 0.4077 0.7581 0.7553

Values from the calculation:
- magnetic moment (Bohr magnetons per cell) = 0.24
- E (eV per atom) = -3.02
- space group = P-1 (2)

=====

2.
Compound: La2Cu2Pt
Source: Alexandria
Functional: GGA-PBE
Structure: relaxed

abc: 3.9116 4.1870 7.3072
angles: 106.65 90.00 90.00
Atoms (fractional coordinates):
La1 0.0000 0.6837 0.3674
La2 0.0000 0.9350 0.8699
Cu1 0.5000 0.3120 0.6240
Cu2 0.5000 0.4977 0.9954
Pt1 0.5000 0.1137 0.2275

Values from the calculation:
- energy above the most stable polymorph in this dataset (meV per atom) = 35
- magnetic moment (Bohr magnetons per cell) = 0.00
- E (eV per atom) = -5.35
- formation energy from the elements (eV/atom) = -0.53
- space group = Amm2 (38)

=====

3.
Compound: MgSc2Ge2Rh5
Source: Alexandria
Functional: GGA-PBE
Structure: relaxed

abc: 3.5375 9.5757 9.5757
angles: 90.00 90.00 90.00
Atoms (fractional coordinates):
Mg1 0.0000 0.0000 0.0000
Mg2 0.0000 0.5000 0.5000
Sc1 0.0000 0.6711 0.1711
Sc2 0.0000 0.3289 0.8289
Sc3 0.0000 0.1711 0.3289
Sc4 0.0000 0.8289 0.6711
Ge1 0.0000 0.1286 0.6286
Ge2 0.0000 0.8714 0.3714
Ge3 0.0000 0.6286 0.8714
Ge4 0.0000 0.3714 0.1286
Rh1 0.5000 0.2066 0.0691
Rh2 0.5000 0.7934 0.9309
Rh3 0.5000 0.0691 0.7934
Rh4 0.5000 0.7066 0.4309
Rh5 0.5000 0.9309 0.2066
Rh6 0.5000 0.2934 0.5691
Rh7 0.5000 0.5691 0.7066
Rh8 0.5000 0.4309 0.2934
Rh9 0.5000 0.5000 0.0000
Rh10 0.5000 0.0000 0.5000

Values from the calculation:
- magnetic moment (Bohr magnetons per cell) = 0.00
- E (eV per atom) = -6.78
- formation energy from the elements (eV/atom) = -0.75
- space group = P4/mbm (127)

=====

4.
Compound: Mg7Zn2Ga2
Source: Alexandria
Functional: GGA-PBE
Structure: relaxed

abc: 5.5532 5.5532 7.5683
angles: 101.52 101.52 97.41
Atoms (fractional coordinates):
Mg1 0.8990 0.5255 0.1816
Mg2 0.4745 0.1010 0.8184
Mg3 0.1010 0.4745 0.8184
Mg4 0.5255 0.8990 0.1816
Mg5 0.0000 0.0000 0.0000
Mg6 0.8418 0.8418 0.5782
Mg7 0.1582 0.1582 0.4218
Zn1 0.6108 0.6108 0.8194
Zn2 0.3892 0.3892 0.1806
Ga1 0.3079 0.6921 0.5000
Ga2 0.6921 0.3079 0.5000

Values from the calculation:
- energy above the most stable polymorph in this dataset (meV per atom) = 0
- magnetic moment (Bohr magnetons per cell) = 0.00
- E (eV per atom) = -1.87
- formation energy from the elements (eV/atom) = -0.08
- space group = C2/m (12)

=====

Number 3 is which compound?
MgSc2Ge2Rh5

=====

Which of these has the highest E?
Mg7Zn2Ga2